This record from Alexandria describes crystalline HoTmGaFe at its relaxed geometry. The functional is GGA-PBE.

As for the formation energy: -0.21 eV per atom. As for the symmetry: F-43m.

Lattice parameters (Å, degrees): 4.8812 4.8812 4.8812 60.00 60.00 60.00
Each line ends with the local moment (μB).
Atoms (fractional coordinates):
Ga1 0.2500 0.2500 0.2500  -0.03
Tm1 0.5000 0.5000 0.5000  -0.25
Fe1 0.7500 0.7500 0.7500  1.72
Ho1 0.0000 0.0000 0.0000  -0.24

---

This record from Alexandria describes crystalline Cd9AgHg2 at its relaxed geometry. The functional is GGA-PBE.

As for the formation energy: 0.01 eV per atom. As for the symmetry: P4/mmm.

Lattice parameters (Å, degrees): 5.4857 5.4857 9.0128 90.00 90.00 90.00
Atoms (fractional coordinates):
Cd1 0.0000 0.5000 0.1633
Cd2 0.5000 0.0000 0.1633
Cd3 0.5000 0.5000 0.3335
Hg1 0.0000 0.0000 0.3276
Cd4 0.5000 0.5000 0.6665
Cd5 0.0000 0.5000 0.8367
Cd6 0.5000 0.5000 0.0000
Ag1 0.0000 0.0000 0.0000
Hg2 0.0000 0.0000 0.6724
Cd7 0.0000 0.5000 0.5000
Cd8 0.5000 0.0000 0.8367
Cd9 0.5000 0.0000 0.5000

---

This record from Alexandria describes crystalline ZrScCl2 at its relaxed geometry. The functional is GGA-PBE.

Its uncorrected formation energy is -81 kJ/mol of atoms. As for the symmetry: Immm.

Lattice parameters (Å, degrees): 5.5794 5.5794 5.5794 147.55 114.50 75.02
Atoms (fractional coordinates):
Zr1 0.2500 0.7500 0.5000
Cl1 0.0030 0.0030 0.0000
Cl2 0.4970 0.4970 0.0000
Sc1 0.7500 0.2500 0.5000